# 1
VASP calculation (PBE) on ScNiW2 after structural relaxation.

The calculation puts the formation enthalpy at 0 K at 0.585 eV/atom. As for the total DFT energy (no corrections): -8.92 eV/atom. The volume is 247.8 Å³/cell. The distance to the lowest polymorph of the same formula comes out at 522 meV/atom. The calculation puts the total moment at 0.00 μB/atom.

The structure belongs to space group Fm-3m (No. 225); the cell edges are 6.281, 6.281 and 6.281 Å and the angles 90.00°, 90.00° and 90.00°. Symmetry generates all atoms from Sc at (0.000, 0.000, 0.000), Ni at (0.000, 0.000, 0.500) and W at (0.250, 0.250, 0.250).

---

# 2
VASP calculation (PBE) on TlCu2S after structural relaxation.

As for the formation energy (no corrections): 0.060 eV per atom. As for the total DFT energy (no corrections): -3.61 eV/atom. The volume is 361.8 Å³/cell. The distance to the lowest polymorph of the same formula comes out at 0 meV/atom. The calculation puts the total moment at 0.00 μB/atom.

The structure belongs to space group I-42d (No. 122); the cell edges are 5.987, 5.987 and 10.092 Å and the angles 90.00°, 90.00° and 90.00°. Symmetry generates all atoms from Tl at (0.000, 0.000, 0.000), Cu at (0.161, 0.250, 0.625) and S at (0.000, 0.000, 0.500).

---

total moment of number 2 (TlCu2S)? 0.00 μB/atom

---

What is the formula in the second record? TlCu2S

---

volume of number 1 (ScNiW2)? 247.8 Å³/cell

---

Please write out number 1 again, unchanged.
VASP calculation (PBE) on ScNiW2 after structural relaxation.

The calculation puts the formation enthalpy at 0 K at 0.585 eV/atom. As for the total DFT energy (no corrections): -8.92 eV/atom. The volume is 247.8 Å³/cell. The distance to the lowest polymorph of the same formula comes out at 522 meV/atom. The calculation puts the total moment at 0.00 μB/atom.

The structure belongs to space group Fm-3m (No. 225); the cell edges are 6.281, 6.281 and 6.281 Å and the angles 90.00°, 90.00° and 90.00°. Symmetry generates all atoms from Sc at (0.000, 0.000, 0.000), Ni at (0.000, 0.000, 0.500) and W at (0.250, 0.250, 0.250).